A relaxed structure of Mg5AlIn2, computed with PBE.

Values from the calculation:
spin magnetization = 0.000 Bohr magnetons per cell
relative energy among the computed polymorphs = 0 meV per atom
E_form = -39 meV/atom
SG = I4/mmm

abc: 4.499 4.499 9.342
angles: 103.93 103.93 90.00
Element x y z (fractional)
1 Al 0.000 0.000 0.000
2 Mg 0.500 0.500 0.000
3 Mg 0.880 0.380 0.759
4 Mg 0.620 0.120 0.241
5 Mg 0.380 0.880 0.759
6 Mg 0.120 0.620 0.241
7 In 0.748 0.748 0.496
8 In 0.252 0.252 0.504


A relaxed structure of HfZnNO2, computed with PBE.

Values from the calculation:
uncorrected formation energy = -0.644 eV per atom
spin magnetization = 0.000 Bohr magnetons per cell
SG = P4/mmm

abc: 3.706 3.706 3.901
angles: 90.00 90.00 90.00
Element x y z (fractional)
1 N 0.000 0.000 0.500
2 Zn 0.000 0.000 0.000
3 O 0.500 0.000 0.000
4 O 0.000 0.500 0.000
5 Hf 0.500 0.500 0.500


A relaxed structure of CaMnAl3, computed with PBE.

Values from the calculation:
spin magnetization = 0.638 Bohr magnetons per cell
relative energy among the computed polymorphs = 2194 meV per atom
E_form = 2003 meV/atom
SG = Pm-3m

abc: 5.299 5.299 5.299
angles: 90.00 90.00 90.00
Element x y z (fractional)
1 Al 0.500 0.000 0.000
2 Al 0.000 0.000 0.500
3 Al 0.000 0.500 0.000
4 Ca 0.000 0.000 0.000
5 Mn 0.500 0.500 0.500


A relaxed structure of FePC, computed with PBE.

Values from the calculation:
spin magnetization = 0.000 Bohr magnetons per cell
relative energy among the computed polymorphs = 270 meV per atom
E_form = 403 meV/atom
SG = R3m

abc: 2.980 2.980 12.474
angles: 90.00 90.00 120.00
Element x y z (fractional)
1 C 0.000 0.000 0.564
2 C 0.667 0.333 0.898
3 C 0.333 0.667 0.231
4 P 0.000 0.000 0.426
5 P 0.333 0.667 0.093
6 P 0.667 0.333 0.760
7 Fe 0.667 0.333 0.309
8 Fe 0.000 0.000 0.976
9 Fe 0.333 0.667 0.643


A relaxed structure of MnSnS2Cl, computed with PBE.

Values from the calculation:
uncorrected formation energy = 0.210 eV per atom
spin magnetization = 5.302 Bohr magnetons per cell
relative energy among the computed polymorphs = 558 meV per atom
SG = P4/mmm

abc: 5.056 5.056 5.014
angles: 90.00 90.00 90.00
Element x y z (fractional)
1 S 0.000 0.500 0.000
2 S 0.500 0.000 0.000
3 Cl 0.000 0.000 0.500
4 Mn 0.500 0.500 0.500
5 Sn 0.000 0.000 0.000


A relaxed structure of AlAsSe4, computed with PBE.

Values from the calculation:
uncorrected formation energy = 0.687 eV per atom
spin magnetization = 0.000 Bohr magnetons per cell
SG = F-43m

abc: 5.696 5.696 5.696
angles: 60.00 60.00 60.00
Element x y z (fractional)
1 Al 0.750 0.750 0.750
2 As 0.000 0.000 0.000
3 Se 0.876 0.375 0.375
4 Se 0.375 0.876 0.375
5 Se 0.375 0.375 0.375
6 Se 0.375 0.375 0.876


A relaxed structure of CsBa2Zr2, computed with PBE.

Values from the calculation:
spin magnetization = 0.014 Bohr magnetons per cell
relative energy among the computed polymorphs = 0 meV per atom
E_form = 237 meV/atom
SG = Cm

abc: 27.578 4.932 8.535
angles: 90.00 95.13 90.00
Element x y z (fractional)
1 Zr 0.577 0.500 0.481
2 Zr 0.526 0.000 0.633
3 Zr 0.475 0.000 0.951
4 Zr 0.526 0.000 0.299
5 Zr 0.577 0.000 0.981
6 Zr 0.475 0.500 0.451
7 Zr 0.526 0.500 0.133
8 Zr 0.526 0.500 0.799
9 Cs 0.109 0.500 0.677
10 Cs 0.942 0.000 0.755
11 Cs 0.942 0.500 0.255
12 Cs 0.109 0.000 0.177
13 Ba 0.259 0.000 0.890
14 Ba 0.793 0.000 0.042
15 Ba 0.666 0.000 0.340
16 Ba 0.386 0.000 0.260
17 Ba 0.386 0.500 0.760
18 Ba 0.793 0.500 0.542
19 Ba 0.666 0.500 0.840
20 Ba 0.259 0.500 0.390


A relaxed structure of Pr3Ni8Pt, computed with PBE.

Values from the calculation:
spin magnetization = 0.000 Bohr magnetons per cell
E_form = -304 meV/atom
SG = R3m

abc: 5.087 5.087 8.867
angles: 73.33 73.33 60.00
Element x y z (fractional)
1 Ni 0.938 0.444 0.680
2 Ni 0.188 0.188 0.435
3 Ni 0.688 0.688 0.937
4 Ni 0.435 0.940 0.189
5 Ni 0.435 0.435 0.189
6 Ni 0.940 0.435 0.189
7 Ni 0.444 0.938 0.680
8 Ni 0.938 0.938 0.680
9 Pr 0.378 0.378 0.867
10 Pr 0.989 0.989 0.033
11 Pr 0.508 0.508 0.477
12 Pt 0.869 0.869 0.393


| no. | calculated volume (Å³ per cell) |
| --- | --- |
| 1 | 177.8 |
| 2 | 53.6 |
| 3 | 148.8 |
| 4 | 95.9 |
| 5 | 128.2 |
| 6 | 130.7 |
| 7 | 1156.3 |
| 8 | 187.5 |